## NaNd3Rh (PBE)

Data for a relaxed structure of NaNd3Rh.

a b c (Å): 5.627 5.627 5.627
angles (deg): 90.00 90.00 90.00
Fractional coordinates of all 5 atoms:
Nd: 0.500 0.000 0.000
Nd: 0.000 0.500 0.000
Nd: 0.000 0.000 0.500
Rh: 0.000 0.000 0.000
Na: 0.500 0.500 0.500

Properties
The energy relative to the elements is -0.145 eV/atom.

## Pt2CCl (PBE)

Data for a relaxed structure of Pt2CCl.

a b c (Å): 5.771 5.771 5.810
angles (deg): 60.22 60.22 90.00
Fractional coordinates of all 8 atoms:
Pt: 0.875 0.776 0.750
Pt: 0.526 0.125 0.250
Pt: 0.375 0.474 0.750
Pt: 0.224 0.625 0.250
Cl: 0.750 0.250 0.500
Cl: 0.000 0.000 0.000
C: 0.500 0.500 0.000
C: 0.250 0.750 0.500

Properties
The calculation puts the energy relative to the lowest polymorph listed for this composition at 0.000 eV per atom. The uncorrected formation energy comes out at 518 meV per atom.

Here are the calculated E_tot numbers, same order: -4.74, -5.27 (eV/atom).